# 1
Crystalline FeAgPt at its relaxed geometry, computed with GGA-PBEsol.

a b c (Å): 4.221 4.221 4.221
angles (deg): 60.00 60.00 60.00
Positions (direct):
Ag  0.000  0.000  0.000
Fe  0.500  0.500  0.500
Pt  0.250  0.250  0.250

DOS at the Fermi energy   4.1 states/eV/cell
Energy of formation from the pure elements   545 meV/atom
Space group   No. 216


# 2
Crystalline FeAg2Pt at its relaxed geometry, computed with GGA-PBEsol.

a b c (Å): 3.967 3.967 4.726
angles (deg): 114.82 114.82 90.00
Positions (direct):
Ag  0.000  0.000  0.000
Ag  0.750  0.250  0.500
Fe  0.500  0.500  0.000
Pt  0.250  0.750  0.500

DOS at the Fermi energy   3.6 states/eV/cell
Energy of formation from the pure elements   155 meV/atom
Space group   No. 119


# 3
Crystalline Fe2ReAg at its relaxed geometry, computed with GGA-PBEsol.

a b c (Å): 2.583 4.034 5.197
angles (deg): 90.00 101.11 90.00
Positions (direct):
Ag  0.538  0.500  0.766
Fe  0.077  0.000  0.012
Fe  0.451  0.500  0.256
Re  0.933  0.000  0.465

DOS at the Fermi energy   3.2 states/eV/cell
Energy of formation from the pure elements   412 meV/atom
Space group   No. 6


# 4
Crystalline FeAgRh2 at its relaxed geometry, computed with GGA-PBEsol.

a b c (Å): 3.802 3.802 4.665
angles (deg): 114.05 114.05 90.00
Positions (direct):
Ag  0.500  0.500  0.000
Fe  0.250  0.750  0.500
Rh  0.000  0.000  0.000
Rh  0.750  0.250  0.500

DOS at the Fermi energy   5.9 states/eV/cell
Energy of formation from the pure elements   254 meV/atom
Space group   No. 119


# 5
Crystalline FeAg3Rh at its relaxed geometry, computed with GGA-PBEsol.

a b c (Å): 4.855 4.855 4.855
angles (deg): 90.00 90.00 90.00
Positions (direct):
Rh  0.000  0.000  0.000
Fe  0.500  0.500  0.500
Ag  0.000  0.500  0.000
Ag  0.000  0.000  0.500
Ag  0.500  0.000  0.000

DOS at the Fermi energy   8.5 states/eV/cell
Energy of formation from the pure elements   1652 meV/atom
Space group   No. 221


# 6
Crystalline FeAgRh2 at its relaxed geometry, computed with GGA-PBEsol.

a b c (Å): 2.696 4.683 4.678
angles (deg): 102.11 90.00 106.73
Positions (direct):
Ag  0.000  0.000  0.500
Fe  0.500  0.000  0.000
Rh  0.763  0.526  0.765
Rh  0.237  0.474  0.235

DOS at the Fermi energy   4.9 states/eV/cell
Energy of formation from the pure elements   183 meV/atom
Space group   No. 12


- What is the formula in the sixth record?
  FeAgRh2


- Number 1 is which compound?
  FeAgPt


- The lowest DOS at the Fermi energy belongs to which entry?
  Fe2ReAg